Entry from Alexandria via LeMat-Bulk: an optimized crystal structure of TcBiN2O (PBE).

Properties
theoretical density	7.591	g/cm3
uncorrected energy	-27.841	eV per formula unit
SG	No. 123
uncorrected formation energy	8.01	eV/f.u.
M_tot	3.75	μB/cell

Unit cell a=4.304 b=4.304 c=4.144 alpha=90.00 beta=90.00 gamma=90.00
Each line ends with the local moment (μB).
Fractional coordinates of all 5 atoms:
N 0.000 0.500 0.000  -0.20
N 0.500 0.000 0.000  -0.20
Bi 0.000 0.000 0.000  0.01
O 0.000 0.000 0.500  0.11
Tc 0.500 0.500 0.500  3.73